# HfThSc (GGA-PBE, relaxed)
data_HfThSc
_cell_length_a 3.359
_cell_length_b 5.238
_cell_length_c 5.238
_cell_angle_alpha 120.00
_cell_angle_beta 90.00
_cell_angle_gamma 90.00
_symmetry_space_group_name_H-M 'P 1'
_symmetry_Int_Tables_number 1
loop_
_symmetry_equiv_pos_as_xyz
'x,y,z'
loop_
_atom_site_label
_atom_site_type_symbol
_atom_site_fract_x
_atom_site_fract_y
_atom_site_fract_z
Sc1 Sc 0.168 0.000 0.000
Hf1 Hf 0.166 0.333 0.667
Th1 Th 0.667 0.667 0.333
# calculated volume	26.61	A^3/atom
# total energy	-7.810	eV/atom
# crystal system	trigonal
# space group	P3m1, No. 156
# DOS at the Fermi energy	2.88	states/eV/f.u.
# DFT formation energy	0.27	eV per formula unit
# relative energy among the computed polymorphs	0.004	eV per atom

=====

# Ba2HfRuBr (GGA-PBE, relaxed)
data_Ba2HfRuBr
_cell_length_a 6.706
_cell_length_b 4.621
_cell_length_c 6.706
_cell_angle_alpha 90.00
_cell_angle_beta 90.00
_cell_angle_gamma 90.00
_symmetry_space_group_name_H-M 'P 1'
_symmetry_Int_Tables_number 1
loop_
_symmetry_equiv_pos_as_xyz
'x,y,z'
loop_
_atom_site_label
_atom_site_type_symbol
_atom_site_fract_x
_atom_site_fract_y
_atom_site_fract_z
Ru1 Ru 0.000 0.500 0.000
Hf1 Hf 0.000 0.000 0.000
Ba1 Ba 0.000 0.000 0.500
Ba2 Ba 0.500 0.000 0.000
Br1 Br 0.500 0.500 0.500
# calculated volume	41.57	A^3/atom
# total energy	-4.756	eV/atom
# crystal system	tetragonal
# space group	P4/mmm, No. 123
# DOS at the Fermi energy	8.03	states/eV/f.u.
# formation energy from raw total energies	0.97	eV/f.u.

=====

# AlZnIrBr2 (GGA-PBE, relaxed)
data_AlZnIrBr2
_cell_length_a 5.215
_cell_length_b 4.841
_cell_length_c 5.215
_cell_angle_alpha 90.00
_cell_angle_beta 90.00
_cell_angle_gamma 90.00
_symmetry_space_group_name_H-M 'P 1'
_symmetry_Int_Tables_number 1
loop_
_symmetry_equiv_pos_as_xyz
'x,y,z'
loop_
_atom_site_label
_atom_site_type_symbol
_atom_site_fract_x
_atom_site_fract_y
_atom_site_fract_z
Zn1 Zn 0.500 0.500 0.500
Ir1 Ir 0.000 0.000 0.000
Al1 Al 0.000 0.500 0.000
Br1 Br 0.000 0.000 0.500
Br2 Br 0.500 0.000 0.000
# calculated volume	26.33	A^3/atom
# total energy	-3.134	eV/atom
# crystal system	tetragonal
# space group	P4/mmm, No. 123
# DOS at the Fermi energy	3.43	states/eV/f.u.
# formation energy from raw total energies	1.56	eV/f.u.